# Zn2InSe | the Alexandria database | PBE | optimized geometry
data_Zn2InSe
_chemical_formula_sum 'Zn8 In4 Se4'
_symmetry_space_group_name_H-M 'F -4 3 m'
_symmetry_Int_Tables_number 216
_symmetry_space_group_name_Hall 'F -4 2 3'
_cell_length_a 7.0751
_cell_length_b 7.0751
_cell_length_c 7.0751
_cell_angle_alpha 90.00
_cell_angle_beta 90.00
_cell_angle_gamma 90.00
loop_
_atom_site_label
_atom_site_type_symbol
_atom_site_fract_x
_atom_site_fract_y
_atom_site_fract_z
_atom_site_occupancy
Zn1 Zn 0.0000 0.0000 0.0000 1
Zn2 Zn 0.2500 0.2500 0.2500 1
In1 In 0.0000 0.0000 0.5000 1
Se1 Se 0.2500 0.2500 0.7500 1
# E ... -2.059 eV per atom
# Magnetic moment ... 0.000 μB/f.u.
# Relative energy among the computed polymorphs ... 1.02 eV/f.u.
# Formation energy without anion corrections ... 0.133 eV per atom

=====

# CaAl2As | the Alexandria database | PBE | optimized geometry
data_CaAl2As
_chemical_formula_sum 'Ca2 Al4 As2'
_symmetry_space_group_name_H-M 'I 4/m m m'
_symmetry_Int_Tables_number 139
_symmetry_space_group_name_Hall '-I 4 2'
_cell_length_a 4.0301
_cell_length_b 4.0301
_cell_length_c 10.2880
_cell_angle_alpha 90.00
_cell_angle_beta 90.00
_cell_angle_gamma 90.00
loop_
_atom_site_label
_atom_site_type_symbol
_atom_site_fract_x
_atom_site_fract_y
_atom_site_fract_z
_atom_site_occupancy
Ca1 Ca 0.0000 0.0000 0.0000 1
Al1 Al 0.0000 0.5000 0.2500 1
As1 As 0.0000 0.0000 0.5000 1
# E ... -3.788 eV per atom
# Magnetic moment ... 0.000 μB/f.u.
# Relative energy among the computed polymorphs ... 0.27 eV/f.u.